Model a:
TiFePt3: optimized geometry, PBE-GGA.

a b c (Å): 4.562 4.562 4.562
angles (deg): 90.00 90.00 90.00
Last column: magnetic moment on the atom in μB.
Element x y z (fractional)
Pt (0.000, 0.500, 0.000)  0.22
Pt (0.000, 0.000, 0.500)  0.34
Pt (0.500, 0.000, 0.000)  0.09
Ti (0.500, 0.500, 0.500)  0.00
Fe (0.000, 0.000, 0.000)  2.56

N(E_F): 12.527 states/eV/f.u.

Model b:
TiFePt3: optimized geometry, PBE-GGA.

a b c (Å): 4.721 4.707 7.460
angles (deg): 84.30 71.60 71.87
Last column: magnetic moment on the atom in μB.
Element x y z (fractional)
Pt (0.759, 0.345, 0.199)  0.15
Pt (0.954, 0.344, 0.811)  0.14
Pt (0.457, 0.845, 0.804)  0.14
Pt (0.262, 0.845, 0.194)  0.16
Pt (0.149, 0.344, 0.421)  0.16
Pt (0.652, 0.844, 0.415)  0.15
Fe (0.561, 0.344, 0.596)  2.85
Fe (0.850, 0.845, 0.019)  2.85
Ti (0.058, 0.844, 0.603)  -0.26
Ti (0.353, 0.345, 0.011)  -0.26

N(E_F): 4.422 states/eV/f.u.

The least stable of them is model a.

Model a:
VFe3Pt: optimized geometry, PBE-GGA.

a b c (Å): 4.656 4.656 4.656
angles (deg): 90.00 90.00 90.00
Last column: magnetic moment on the atom in μB.
Element x y z (fractional)
V (0.500, 0.500, 0.500)  2.61
Fe (0.500, 0.000, 0.000)  3.13
Fe (0.000, 0.500, 0.000)  3.13
Fe (0.000, 0.000, 0.500)  3.13
Pt (0.000, 0.000, 0.000)  0.55

N(E_F): 7.440 states/eV/f.u.

Model b:
VFe3Pt: optimized geometry, PBE-GGA.

a b c (Å): 4.190 4.190 4.190
angles (deg): 90.00 90.00 90.00
Last column: magnetic moment on the atom in μB.
Element x y z (fractional)
Fe (0.500, 0.000, 0.000)  1.94
Fe (0.000, 0.500, 0.000)  1.94
Fe (0.000, 0.000, 0.500)  1.94
Pt (0.500, 0.500, 0.500)  0.17
V (0.000, 0.000, 0.000)  -1.16

N(E_F): 4.864 states/eV/f.u.

The least stable of them is model a.

Model a:
V2Fe2Pt: optimized geometry, PBE-GGA.

a b c (Å): 6.718 6.718 2.778
angles (deg): 90.00 90.00 90.00
Element x y z (fractional)
Fe (0.632, 0.132, 0.000)
Fe (0.868, 0.632, 0.000)
Fe (0.132, 0.368, 0.000)
Fe (0.368, 0.868, 0.000)
V (0.664, 0.836, 0.500)
V (0.336, 0.164, 0.500)
V (0.836, 0.336, 0.500)
V (0.164, 0.664, 0.500)
Pt (0.000, 0.000, 0.000)
Pt (0.500, 0.500, 0.000)

N(E_F): 6.571 states/eV/f.u.

Model b:
V2Fe2Pt: optimized geometry, PBE-GGA.

a b c (Å): 6.877 6.877 2.713
angles (deg): 90.00 90.00 90.00
Element x y z (fractional)
Fe (0.854, 0.354, 0.500)
Fe (0.646, 0.854, 0.500)
Fe (0.146, 0.646, 0.500)
Fe (0.354, 0.146, 0.500)
V (0.147, 0.353, 0.000)
V (0.353, 0.853, 0.000)
V (0.647, 0.147, 0.000)
V (0.853, 0.647, 0.000)
Pt (0.000, 0.000, 0.000)
Pt (0.500, 0.500, 0.000)

N(E_F): 5.022 states/eV/f.u.

The least stable of them is model b.

Model a:
Fe2PtW: optimized geometry, PBE-GGA.

a b c (Å): 2.728 3.659 5.456
angles (deg): 90.00 90.00 90.00
Last column: magnetic moment on the atom in μB.
Element x y z (fractional)
Fe (0.000, 0.000, 0.993)  1.96
Fe (0.000, 0.000, 0.507)  1.96
W (0.500, 0.500, 0.750)  -0.45
Pt (0.500, 0.500, 0.250)  0.17

N(E_F): 3.945 states/eV/f.u.

Model b:
Fe2PtW: optimized geometry, PBE-GGA.

a b c (Å): 2.660 2.660 7.908
angles (deg): 90.00 90.00 90.00
Last column: magnetic moment on the atom in μB.
Element x y z (fractional)
Fe (0.000, 0.000, 0.493)  2.52
Fe (0.000, 0.000, 0.007)  2.52
W (0.500, 0.500, 0.750)  -0.07
Pt (0.500, 0.500, 0.250)  0.24

N(E_F): 3.598 states/eV/f.u.

The least stable of them is model b.

Model a:
Fe2PtW: optimized geometry, PBE-GGA.

a b c (Å): 8.695 8.695 8.695
angles (deg): 18.26 18.26 18.26
Last column: magnetic moment on the atom in μB.
Element x y z (fractional)
Fe (0.995, 0.995, 0.995)  2.30
Fe (0.256, 0.256, 0.256)  2.70
Pt (0.504, 0.504, 0.504)  0.09
W (0.746, 0.746, 0.746)  -0.22

N(E_F): 3.178 states/eV/f.u.

Model b:
Fe2PtW: optimized geometry, PBE-GGA.

a b c (Å): 3.814 3.814 3.568
angles (deg): 90.00 90.00 90.00
Element x y z (fractional)
W (0.000, 0.500, 0.500)
Pt (0.500, 0.000, 0.500)
Fe (0.000, 0.000, 0.000)
Fe (0.500, 0.500, 0.000)

N(E_F): 3.527 states/eV/f.u.

The least stable of them is model a.

Model a:
Fe2PtW: optimized geometry, PBE-GGA.

a b c (Å): 2.663 2.663 7.983
angles (deg): 90.00 90.00 98.21
Last column: magnetic moment on the atom in μB.
Element x y z (fractional)
Fe (0.000, 0.000, 0.495)  2.51
Fe (0.000, 0.000, 0.005)  2.51
W (0.500, 0.500, 0.750)  -0.11
Pt (0.500, 0.500, 0.250)  0.22

N(E_F): 2.896 states/eV/f.u.

Model b:
Fe2PtW: optimized geometry, PBE-GGA.

a b c (Å): 3.061 3.061 5.932
angles (deg): 90.00 90.00 90.00
Last column: magnetic moment on the atom in μB.
Element x y z (fractional)
Pt (0.500, 0.500, 0.250)  0.34
W (0.500, 0.500, 0.750)  -0.21
Fe (0.000, 0.000, 0.997)  2.45
Fe (0.000, 0.000, 0.503)  2.45

N(E_F): 5.899 states/eV/f.u.

Model c:
Fe2PtW: optimized geometry, PBE-GGA.

a b c (Å): 9.089 9.089 9.089
angles (deg): 17.11 17.11 17.11
Last column: magnetic moment on the atom in μB.
Element x y z (fractional)
Pt (0.250, 0.250, 0.250)  0.23
Fe (0.501, 0.501, 0.501)  2.58
Fe (0.999, 0.999, 0.999)  2.58
W (0.750, 0.750, 0.750)  -0.13

N(E_F): 3.418 states/eV/f.u.

Model d:
Fe2PtW: optimized geometry, PBE-GGA.

a b c (Å): 2.708 3.711 5.390
angles (deg): 90.00 90.00 90.00
Last column: magnetic moment on the atom in μB.
Element x y z (fractional)
W (0.500, 0.500, 0.775)  -0.31
Pt (0.000, 0.000, 0.490)  0.01
Fe (0.500, 0.500, 0.225)  2.28
Fe (0.000, 0.000, 0.010)  1.13

N(E_F): 3.162 states/eV/f.u.

The least stable of them is model c.